[1]
The following is a PBE calculation of a relaxed structure of Pr3Ho2ErTe2Pt, from OQMD.

abc: 4.089 14.727 8.508
angles: 90.00 90.00 90.00
Space group Amm2 (No. 38)
Unique sites:
Pr 0.000 0.000 0.000 [2 per cell]
Pr 0.000 0.203 0.608 [4 per cell]
Ho 0.500 0.119 0.286 [4 per cell]
Er 0.500 0.000 0.644 [2 per cell]
Te 0.500 0.167 0.906 [4 per cell]
Pt 0.000 0.000 0.407 [2 per cell]

Properties
uncorrected energy	-5.451	eV/atom
calculated volume	512.4	Å³/cell

***

[2]
The following is a PBE calculation of a relaxed structure of K2GaCuCl6, from OQMD.

abc: 9.790 9.790 9.790
angles: 90.00 90.00 90.00
Space group Fm-3m (No. 225)
Unique sites:
K 0.250 0.250 0.250 [8 per cell]
Ga 0.000 0.000 0.000 [4 per cell]
Cu 0.000 0.000 0.500 [4 per cell]
Cl 0.000 0.000 0.246 [24 per cell]

Properties
uncorrected energy	-3.269	eV/atom
calculated volume	938.4	Å³/cell

***

[3]
The following is a PBE calculation of a relaxed structure of K2Ag2TeSe, from OQMD.

abc: 4.6964 4.6964 9.5807
angles: 90.00 90.00 120.00
Space group P-6m2 (No. 187)
Unique sites:
K 0.0000 0.0000 0.2397 [2 per cell]
Ag 0.3333 0.6667 0.5000 [1 per cell]
Ag 0.6667 0.3333 0.0000 [1 per cell]
Te 0.6667 0.3333 0.5000 [1 per cell]
Se 0.3333 0.6667 0.0000 [1 per cell]

Properties
uncorrected energy	-3.089	eV/atom
calculated volume	183.0	Å³/cell

***

[4]
The following is a PBE calculation of a relaxed structure of GaAgSeO, from OQMD.

abc: 3.759 3.759 9.272
angles: 90.00 90.00 90.00
Space group P4/nmm (No. 129, origin choice 2)
Unique sites:
Ga 0.250 0.250 0.094 [2 per cell]
Ag 0.250 0.750 0.500 [2 per cell]
Se 0.250 0.250 0.718 [2 per cell]
O 0.250 0.750 0.000 [2 per cell]

Properties
uncorrected energy	-4.064	eV/atom
E above lowest polymorph	327	meV per atom
calculated volume	131.0	Å³/cell

***

[5]
The following is a PBE calculation of a relaxed structure of KBiPd2, from OQMD.

abc: 4.775 7.399 6.366
angles: 90.00 90.00 90.00
Space group Pmmn (No. 59, origin choice 2)
Unique sites:
K 0.250 0.250 0.126 [2 per cell]
Bi 0.250 0.750 0.354 [2 per cell]
Pd 0.250 0.059 0.599 [4 per cell]

Properties
uncorrected energy	-4.188	eV/atom
calculated volume	224.9	Å³/cell

***

[6]
The following is a PBE calculation of a relaxed structure of BeGaFeRe, from OQMD.

abc: 5.772 5.772 5.772
angles: 90.00 90.00 90.00
Space group F-43m (No. 216)
Unique sites:
Be 0.000 0.000 0.000 [4 per cell]
Ga 0.250 0.250 0.250 [4 per cell]
Fe 0.000 0.000 0.500 [4 per cell]
Re 0.250 0.250 0.750 [4 per cell]

Properties
uncorrected energy	-6.763	eV/atom
E above lowest polymorph	0	meV per atom
calculated volume	192.3	Å³/cell

***

Question: The highest calculated volume belongs to which entry?
Answer: K2GaCuCl6